Entry from Alexandria via LeMat-Bulk: SrAgP4 after structural relaxation (PBE-GGA).

The structure belongs to space group F-43m (No. 216); the cell edges are 7.8745, 7.8745 and 7.8745 Å and the angles 90.00°, 90.00° and 90.00°. Symmetry generates all atoms from Sr at (0.0000, 0.0000, 0.0000), Ag at (0.2500, 0.2500, 0.7500) and P at (0.1047, 0.1047, 0.3953).

Its energy relative to the elements is 0.0346 eV/atom. The density of states at the Fermi level is 1.847 states/eV/f.u. Its crystal system is cubic. The raw total energy is -4.328 eV per atom.